The following is a DFT calculation (PBE) of an optimized crystal structure of InTcW.

Calculated values
- formation enthalpy at 0 K (eV/atom) = 0.3941
- polymorph energy (0 for the lowest one) (eV per atom) = 0.1773
- crystal system = orthorhombic
- symmetry = Fmm2

Unit cell a=7.4294 b=7.1931 c=2.8599 alpha=83.41 beta=74.11 gamma=22.48
Closest atoms and distances in Å follow each position.
Fractional positions:
In 0.0000 0.0000 0.0000  6 In 2.86-3.07, 2 Tc 2.87, 2 W 2.94
Tc 0.3271 0.3271 0.6729  2 W 2.59, 4 Tc 2.86, 2 In 2.87
W 0.6785 0.6785 0.3215  2 Tc 2.59, 4 W 2.86



The following is a DFT calculation (PBE) of an optimized crystal structure of V2SbPd.

Calculated values
- crystal system = tetragonal
- symmetry = I-42d
- E_form (uncorrected) (meV per atom) = 280

Unit cell a=5.7472 b=5.7472 c=5.7472 alpha=102.59 beta=102.59 gamma=124.34
Closest atoms and distances in Å follow each position.
Fractional positions:
V 0.1128 0.6250 0.9878  2 Pd 2.57, 2 V 2.69, 2 Sb 2.69
V 0.3750 0.3628 0.4878  2 Pd 2.57, 2 V 2.69, 2 Sb 2.69
V 0.6372 0.1250 0.0122  2 Pd 2.57, 2 V 2.69, 2 Sb 2.69
V 0.8750 0.8872 0.5122  2 Pd 2.57, 2 V 2.69, 2 Sb 2.69
Sb 0.2500 0.7500 0.5000  2 Pd 2.68, 4 V 2.69
Sb 0.5000 0.5000 0.0000  2 Pd 2.68, 4 V 2.69
Pd 0.0000 0.0000 0.0000  4 V 2.57, 2 Sb 2.68
Pd 0.7500 0.2500 0.5000  4 V 2.57, 2 Sb 2.68



The following is a DFT calculation (PBE) of an optimized crystal structure of MnB3N.

Calculated values
- polymorph energy (0 for the lowest one) (eV per atom) = 0.0000
- crystal system = cubic
- symmetry = Pm-3m
- E_form (uncorrected) (meV per atom) = 1484

Unit cell a=3.3328 b=3.3328 c=3.3328 alpha=90.00 beta=90.00 gamma=90.00
Closest atoms and distances in Å follow each position.
Fractional positions:
Mn 0.0000 0.0000 0.0000  12 B 2.36
B 0.0000 0.5000 0.5000  2 N 1.67
B 0.5000 0.0000 0.5000  2 N 1.67
B 0.5000 0.5000 0.0000  2 N 1.67
N 0.5000 0.5000 0.5000  6 B 1.67



| no. | size of the total moment (μB/atom) |
| --- | --- |
| 1 | 0.000 |
| 2 | 0.000 |
| 3 | 0.000 |